Compound: LaRuRh2
Source: the Alexandria database
Functional: PBE-GGA
Structure: optimized geometry

The distance to the lowest polymorph of the same formula is 1.215 kcal/mol of atoms. Its total energy is -7.272 eV/atom. The formation enthalpy at 0 K is -0.05 eV/atom.

a = 4.562 Å, b = 2.953 Å, c = 5.331 Å
α = 83.11°, β = 90.00°, γ = 90.00°
Atoms (fractional coordinates):
Rh: 0.500 0.121 0.301
Rh: 0.000 0.149 0.994
La: 0.500 0.683 0.790
Ru: 0.000 0.547 0.415